A plane-wave DFT calculation with PBE-GGA was carried out for a relaxed structure of YHgOs2.

Properties
Calculated total energy in eV/atom: -6.736

a b c (Å): 6.6699 6.6699 6.6699
angles (deg): 90.00 90.00 90.00
Last column: nearest neighbours and their distance in Å.
Space group F-43m (No. 216)
Symmetry-distinct sites (fractional):
Y1 0.0000 0.0000 0.0000  4 Os 2.89, 4 Hg 2.89
Hg1 0.2500 0.2500 0.2500  4 Y 2.89, 4 Os 2.89
Os1 0.0000 0.0000 0.5000  4 Hg 2.89, 4 Os 2.89
Os2 0.2500 0.2500 0.7500  4 Os 2.89, 4 Y 2.89

A plane-wave DFT calculation with PBE-GGA was carried out for a relaxed structure of ZnHg2Os.

Properties
Calculated total energy in eV/atom: -2.501

a b c (Å): 6.5819 6.5819 6.5819
angles (deg): 90.00 90.00 90.00
Last column: nearest neighbours and their distance in Å.
Space group F-43m (No. 216)
Symmetry-distinct sites (fractional):
Zn1 0.0000 0.0000 0.0000  4 Hg 2.85, 4 Os 2.85
Hg1 0.0000 0.0000 0.5000  4 Os 2.85, 4 Hg 2.85
Hg2 0.2500 0.2500 0.7500  4 Hg 2.85, 4 Zn 2.85
Os1 0.2500 0.2500 0.2500  4 Zn 2.85, 4 Hg 2.85

A plane-wave DFT calculation with PBE-GGA was carried out for a relaxed structure of ZrHgOs2.

Properties
Calculated total energy in eV/atom: -7.305

a b c (Å): 6.5420 6.5420 6.5420
angles (deg): 90.00 90.00 90.00
Last column: nearest neighbours and their distance in Å.
Space group F-43m (No. 216)
Symmetry-distinct sites (fractional):
Zr1 0.0000 0.0000 0.0000  4 Hg 2.83, 4 Os 2.83
Hg1 0.2500 0.2500 0.7500  4 Zr 2.83, 4 Os 2.83
Os1 0.0000 0.0000 0.5000  4 Hg 2.83, 4 Os 2.83
Os2 0.2500 0.2500 0.2500  4 Zr 2.83, 4 Os 2.83

A plane-wave DFT calculation with PBE-GGA was carried out for a relaxed structure of ZrHgOs2.

Properties
Calculated total energy in eV/atom: -7.305

a b c (Å): 6.5420 6.5420 6.5420
angles (deg): 90.00 90.00 90.00
Last column: nearest neighbours and their distance in Å.
Space group F-43m (No. 216)
Symmetry-distinct sites (fractional):
Zr1 0.0000 0.0000 0.0000  4 Hg 2.83, 4 Os 2.83
Hg1 0.2500 0.2500 0.2500  4 Zr 2.83, 4 Os 2.83
Os1 0.0000 0.0000 0.5000  4 Hg 2.83, 4 Os 2.83
Os2 0.2500 0.2500 0.7500  4 Zr 2.83, 4 Os 2.83